SrTc3P2 after structural relaxation. Source: Alexandria via LeMat-Bulk, functional PBE.

Geometry as extended XYZ:
```
12
Lattice="7.434 -2.058 0.000 7.434 2.058 0.000 -3.515 0.000 7.011" Properties=species:S:1:pos:R:3 pbc="T T T"
Sr 1.917 0.000 0.416
Sr 9.436 0.000 6.595
Tc -0.665 0.000 2.777
Tc 2.519 0.000 3.790
Tc 4.910 0.000 2.426
Tc 6.443 0.000 4.585
Tc 8.834 0.000 3.221
Tc 12.018 0.000 4.234
P 0.265 0.000 4.929
P 4.266 0.000 5.534
P 7.088 0.000 1.477
P 11.088 0.000 2.082
```

Its total energy is -0.2870 hartree per atom. As for the space group: C2/m.